VASP calculation (PBE with a Hubbard U) on crystalline CeMnF at its relaxed geometry.

Unit cell a=3.726 b=3.722 c=9.676 alpha=67.56 beta=89.99 gamma=89.98
Last column: magnetic moment on the atom in μB.
Sites, in units of the cell vectors:
Ce 0.773 0.221 0.738  -1.08
Mn 0.773 0.828 0.130  4.39
F 0.773 0.909 0.550  0.01
Ce 0.273 0.096 0.362  -1.08
F 0.273 0.409 0.550  0.01
Mn 0.273 0.489 0.970  4.39

Summary:
raw total energy: -6.478 eV/atom
symmetry: No. 11